[1]
DFT (GGA-PBE) results for a geometry-optimized LiMn2Al4 structure.

Unit cell a=5.161 b=5.161 c=5.161 alpha=105.02 beta=105.02 gamma=118.78
Atoms (fractional coordinates):
Mn  0.761  0.261  0.500
Al  0.298  0.726  0.000
Li  0.929  0.929  0.000
Al  0.726  0.726  0.428
Mn  0.261  0.761  0.500
Al  0.298  0.298  0.572
Al  0.726  0.298  0.000

[2]
DFT (GGA-PBE) results for a geometry-optimized Li2MnAl structure.

Unit cell a=2.520 b=2.520 c=8.734 alpha=90.00 beta=90.00 gamma=90.00
Atoms (fractional coordinates):
Al  0.500  0.500  0.750
Mn  0.500  0.500  0.250
Li  0.000  0.000  0.494
Li  0.000  0.000  0.006

[3]
DFT (GGA-PBE) results for a geometry-optimized LiMnAl structure.

Calculated values
Distance to the lowest polymorph of the same formula, meV/atom: 662

Unit cell a=4.120 b=4.120 c=4.120 alpha=60.00 beta=60.00 gamma=60.00
Atoms (fractional coordinates):
Al  0.500  0.500  0.500
Li  0.750  0.750  0.750
Mn  0.000  0.000  0.000

[4]
DFT (GGA-PBE) results for a geometry-optimized Li2MnAl structure.

Unit cell a=2.704 b=2.704 c=9.350 alpha=90.00 beta=90.00 gamma=113.14
Atoms (fractional coordinates):
Mn  0.500  0.500  0.250
Li  0.000  0.000  0.499
Al  0.500  0.500  0.750
Li  0.000  0.000  0.001

[5]
DFT (GGA-PBE) results for a geometry-optimized LiMnAl structure.

Calculated values
Distance to the lowest polymorph of the same formula, meV/atom: 222

Unit cell a=4.697 b=4.697 c=4.697 alpha=146.77 beta=128.75 gamma=62.46
Atoms (fractional coordinates):
Al  0.007  0.007  0.000
Li  0.334  0.334  0.000
Mn  0.659  0.659  0.000

[6]
DFT (GGA-PBE) results for a geometry-optimized Li2MnAl structure.

Unit cell a=2.685 b=4.041 c=5.712 alpha=90.00 beta=90.00 gamma=90.00
Atoms (fractional coordinates):
Li  0.000  0.000  0.996
Mn  0.000  0.000  0.528
Al  0.500  0.500  0.723
Li  0.500  0.500  0.253

[7]
DFT (GGA-PBE) results for a geometry-optimized Li3MnAl structure.

Calculated values
Distance to the lowest polymorph of the same formula, meV/atom: 383

Unit cell a=4.675 b=4.675 c=4.675 alpha=90.00 beta=90.00 gamma=90.00
Atoms (fractional coordinates):
Li  0.000  0.000  0.500
Al  0.000  0.000  0.000
Li  0.500  0.000  0.000
Mn  0.500  0.500  0.500
Li  0.000  0.500  0.000

[8]
DFT (GGA-PBE) results for a geometry-optimized LiMnAl3 structure.

Calculated values
Distance to the lowest polymorph of the same formula, meV/atom: 210

Unit cell a=4.563 b=4.563 c=4.563 alpha=90.00 beta=90.00 gamma=90.00
Atoms (fractional coordinates):
Al  0.000  0.000  0.500
Mn  0.000  0.000  0.000
Al  0.000  0.500  0.000
Al  0.500  0.000  0.000
Li  0.500  0.500  0.500

[9]
DFT (GGA-PBE) results for a geometry-optimized Li2MnAl structure.

Unit cell a=9.458 b=9.458 c=9.458 alpha=16.95 beta=16.95 gamma=16.95
Atoms (fractional coordinates):
Al  0.750  0.750  0.750
Mn  0.250  0.250  0.250
Li  0.500  0.500  0.500
Li  0.000  0.000  0.000

[10]
DFT (GGA-PBE) results for a geometry-optimized Li2MnAl structure.

Unit cell a=4.467 b=3.676 c=3.676 alpha=90.00 beta=90.00 gamma=90.00
Atoms (fractional coordinates):
Mn  0.500  0.500  0.000
Li  0.000  0.500  0.500
Al  0.500  0.000  0.500
Li  0.000  0.000  0.000

[11]
DFT (GGA-PBE) results for a geometry-optimized LiMnAl4 structure.

Calculated values
Distance to the lowest polymorph of the same formula, meV/atom: 276

Unit cell a=5.072 b=5.072 c=5.072 alpha=60.00 beta=60.00 gamma=60.00
Atoms (fractional coordinates):
Li  0.750  0.750  0.750
Al  0.375  0.876  0.375
Mn  0.000  0.000  0.000
Al  0.375  0.375  0.375
Al  0.876  0.375  0.375
Al  0.375  0.375  0.876

[12]
DFT (GGA-PBE) results for a geometry-optimized LiMnAl structure.

Calculated values
Distance to the lowest polymorph of the same formula, meV/atom: 177

Unit cell a=4.293 b=4.293 c=2.665 alpha=90.00 beta=90.00 gamma=120.00
Atoms (fractional coordinates):
Al  0.000  0.000  0.054
Li  0.667  0.333  0.323
Mn  0.333  0.667  0.623

The formation enthalpy at 0 K results, record by record, are as follows: -1.26; 1.22; 1.42; 0.70; 0.10; 0.16; 5.84; 0.38; 0.79; 0.24; 0.93; -0.03 eV per formula unit.
The DFT total energy results, record by record, are as follows: -36.5; -15.5; -13.4; -16.0; -14.7; -16.6; -12.8; -21.9; -15.9; -16.5; -25.1; -14.9 eV per cell.